# ZrGeC3, optimized geometry, DFT GGA-PBE
data_ZrGeC3
_chemical_formula_sum 'Zr1 Ge1 C3'
_cell_length_a 3.901
_cell_length_b 3.901
_cell_length_c 3.901
_cell_angle_alpha 90.00
_cell_angle_beta 90.00
_cell_angle_gamma 90.00
_space_group_name_H-M_alt 'P m -3 m'
_space_group_IT_number 221
_space_group_name_Hall '-P 4 2 3'
loop_
_atom_site_label
_atom_site_type_symbol
_atom_site_fract_x
_atom_site_fract_y
_atom_site_fract_z
Zr1 Zr 0.000 0.000 0.000
Ge1 Ge 0.500 0.500 0.500
C1 C 0.000 0.500 0.500
# Energy relative to the elements in eV/atom: 1.7580
# ΔE to the lowest computed polymorph in meV/atom: 0
# Theoretical density in g cm⁻³: 5.592

=====

# Zr2GeC, optimized geometry, DFT GGA-PBE
data_Zr2GeC
_chemical_formula_sum 'Zr4 Ge2 C2'
_cell_length_a 5.842
_cell_length_b 3.357
_cell_length_c 7.098
_cell_angle_alpha 90.00
_cell_angle_beta 105.56
_cell_angle_gamma 90.00
_space_group_name_H-M_alt 'C 1 2/m 1'
_space_group_IT_number 12
loop_
_space_group_symop_operation_xyz
'x,y,z'
'-x,-y,-z'
'-x,y,-z'
'x,-y,z'
'x+1/2,y+1/2,z'
'-x+1/2,-y+1/2,-z'
'-x+1/2,y+1/2,-z'
'x+1/2,-y+1/2,z'
loop_
_atom_site_label
_atom_site_type_symbol
_atom_site_fract_x
_atom_site_fract_y
_atom_site_fract_z
Zr1 Zr 0.227 0.000 0.187
Ge1 Ge 0.000 0.000 0.500
C1 C 0.000 0.500 0.000
# Energy relative to the elements in eV/atom: -0.7481
# Theoretical density in g cm⁻³: 6.616

=====

# Zr2GeC, optimized geometry, DFT GGA-PBE
data_Zr2GeC
_chemical_formula_sum 'Zr8 Ge4 C4'
_cell_length_a 6.577
_cell_length_b 6.577
_cell_length_c 6.547
_cell_angle_alpha 90.00
_cell_angle_beta 90.00
_cell_angle_gamma 90.00
_space_group_name_H-M_alt 'I -4 2 d'
_space_group_IT_number 122
_space_group_name_Hall 'I -4 2bw'
loop_
_atom_site_label
_atom_site_type_symbol
_atom_site_fract_x
_atom_site_fract_y
_atom_site_fract_z
Zr1 Zr 0.189 0.250 0.125
Ge1 Ge 0.000 0.000 0.500
C1 C 0.000 0.000 0.000
# Energy relative to the elements in eV/atom: -0.3097
# Theoretical density in g cm⁻³: 6.264

=====

# Hf2HCI, optimized geometry, DFT GGA-PBE
data_Hf2HCI
_chemical_formula_sum 'Hf2 H1 C1 I1'
_cell_length_a 5.319
_cell_length_b 5.319
_cell_length_c 4.133
_cell_angle_alpha 90.00
_cell_angle_beta 90.00
_cell_angle_gamma 90.00
_space_group_name_H-M_alt 'P 4/m m m'
_space_group_IT_number 123
_space_group_name_Hall '-P 4 2'
loop_
_atom_site_label
_atom_site_type_symbol
_atom_site_fract_x
_atom_site_fract_y
_atom_site_fract_z
Hf1 Hf 0.000 0.500 0.000
H1 H 0.000 0.000 0.500
C1 C 0.500 0.500 0.500
I1 I 0.500 0.500 0.000
# Theoretical density in g cm⁻³: 7.056

=====

# Hf4HCN2, optimized geometry, DFT GGA-PBE
data_Hf4HCN2
_chemical_formula_sum 'Hf8 H2 C2 N4'
_cell_length_a 4.577
_cell_length_b 4.577
_cell_length_c 9.127
_cell_angle_alpha 90.00
_cell_angle_beta 90.00
_cell_angle_gamma 90.00
_space_group_name_H-M_alt 'I -4 m 2'
_space_group_IT_number 119
_space_group_name_Hall 'I -4 -2'
loop_
_atom_site_label
_atom_site_type_symbol
_atom_site_fract_x
_atom_site_fract_y
_atom_site_fract_z
Hf1 Hf 0.000 0.000 0.239
Hf2 Hf 0.000 0.500 0.000
H1 H 0.000 0.000 0.500
C1 C 0.000 0.500 0.750
N1 N 0.000 0.000 0.000
N2 N 0.000 0.500 0.250
# Theoretical density in g cm⁻³: 13.113

=====

# Hf4HC2N, optimized geometry, DFT GGA-PBE
data_Hf4HC2N
_chemical_formula_sum 'Hf8 H2 C4 N2'
_cell_length_a 4.599
_cell_length_b 4.599
_cell_length_c 9.247
_cell_angle_alpha 90.00
_cell_angle_beta 90.00
_cell_angle_gamma 90.00
_space_group_name_H-M_alt 'I -4 m 2'
_space_group_IT_number 119
_space_group_name_Hall 'I -4 -2'
loop_
_atom_site_label
_atom_site_type_symbol
_atom_site_fract_x
_atom_site_fract_y
_atom_site_fract_z
Hf1 Hf 0.000 0.000 0.239
Hf2 Hf 0.000 0.500 0.000
H1 H 0.000 0.000 0.500
C1 C 0.000 0.000 0.000
C2 C 0.000 0.500 0.250
N1 N 0.000 0.500 0.750
# Theoretical density in g cm⁻³: 12.786

=====

# Hf6HC3N2, optimized geometry, DFT GGA-PBE
data_Hf6HC3N2
_chemical_formula_sum 'Hf12 H2 C6 N4'
_cell_length_a 5.658
_cell_length_b 9.795
_cell_length_c 5.617
_cell_angle_alpha 90.00
_cell_angle_beta 109.80
_cell_angle_gamma 90.00
_space_group_name_H-M_alt 'C 1 2/m 1'
_space_group_IT_number 12
loop_
_space_group_symop_operation_xyz
'x,y,z'
'-x,-y,-z'
'-x,y,-z'
'x,-y,z'
'x+1/2,y+1/2,z'
'-x+1/2,-y+1/2,-z'
'-x+1/2,y+1/2,-z'
'x+1/2,-y+1/2,z'
loop_
_atom_site_label
_atom_site_type_symbol
_atom_site_fract_x
_atom_site_fract_y
_atom_site_fract_z
Hf1 Hf 0.239 0.000 0.263
Hf2 Hf 0.241 0.174 0.745
H1 H 0.000 0.500 0.000
C1 C 0.000 0.000 0.500
C2 C 0.000 0.333 0.500
N1 N 0.000 0.166 0.000
# Theoretical density in g cm⁻³: 12.882

=====

# HfPHC2, optimized geometry, DFT GGA-PBE
data_HfPHC2
_chemical_formula_sum 'Hf1 P1 H1 C2'
_cell_length_a 4.350
_cell_length_b 4.350
_cell_length_c 5.003
_cell_angle_alpha 90.00
_cell_angle_beta 90.00
_cell_angle_gamma 90.00
_space_group_name_H-M_alt 'P 4/m m m'
_space_group_IT_number 123
_space_group_name_Hall '-P 4 2'
loop_
_atom_site_label
_atom_site_type_symbol
_atom_site_fract_x
_atom_site_fract_y
_atom_site_fract_z
Hf1 Hf 0.000 0.000 0.000
P1 P 0.000 0.000 0.500
H1 H 0.500 0.500 0.500
C1 C 0.000 0.500 0.000
# Theoretical density in g cm⁻³: 4.113

=====

# Hf3PHC, optimized geometry, DFT GGA-PBE
data_Hf3PHC
_chemical_formula_sum 'Hf6 P2 H2 C2'
_cell_length_a 6.901
_cell_length_b 3.381
_cell_length_c 7.489
_cell_angle_alpha 90.00
_cell_angle_beta 103.89
_cell_angle_gamma 90.00
_space_group_name_H-M_alt 'P 1 21/m 1'
_space_group_IT_number 11
loop_
_space_group_symop_operation_xyz
'x,y,z'
'-x,-y,-z'
'-x,y+1/2,-z'
'x,-y+1/2,z'
loop_
_atom_site_label
_atom_site_type_symbol
_atom_site_fract_x
_atom_site_fract_y
_atom_site_fract_z
Hf1 Hf 0.060 0.250 0.348
Hf2 Hf 0.249 0.250 0.975
Hf3 Hf 0.387 0.750 0.636
P1 P 0.310 0.750 0.260
H1 H 0.427 0.750 0.916
C1 C 0.168 0.250 0.661
# Theoretical density in g cm⁻³: 11.346

=====

# HgH10C3I3N, optimized geometry, DFT GGA-PBE
data_HgH10C3I3N
_chemical_formula_sum 'Hg4 H40 C12 I12 N4'
_cell_length_a 9.456
_cell_length_b 15.867
_cell_length_c 9.073
_cell_angle_alpha 90.00
_cell_angle_beta 94.22
_cell_angle_gamma 90.00
_space_group_name_H-M_alt 'P 1 21/c 1'
_space_group_IT_number 14
loop_
_space_group_symop_operation_xyz
'x,y,z'
'-x,-y,-z'
'-x,y+1/2,-z+1/2'
'x,-y+1/2,z+1/2'
loop_
_atom_site_label
_atom_site_type_symbol
_atom_site_fract_x
_atom_site_fract_y
_atom_site_fract_z
Hg1 Hg 0.244 0.221 0.215
H1 H 0.050 0.543 0.223
H2 H 0.126 0.026 0.865
H3 H 0.131 0.055 0.675
H4 H 0.208 0.660 0.323
H5 H 0.216 0.616 0.059
H6 H 0.274 0.588 0.466
H7 H 0.293 0.516 0.020
H8 H 0.352 0.003 0.776
H9 H 0.396 0.640 0.352
H10 H 0.403 0.599 0.095
C1 C 0.135 0.002 0.753
C2 C 0.289 0.613 0.355
C3 C 0.298 0.570 0.094
I1 I 0.046 0.243 0.450
I2 I 0.299 0.049 0.200
I3 I 0.460 0.160 0.740
N1 N 0.274 0.541 0.247
# Theoretical density in g cm⁻³: 3.138

=====

# HgH2C2O6, optimized geometry, DFT GGA-PBE
data_HgH2C2O6
_chemical_formula_sum 'Hg1 H2 C2 O6'
_cell_length_a 4.145
_cell_length_b 5.072
_cell_length_c 6.930
_cell_angle_alpha 80.83
_cell_angle_beta 83.80
_cell_angle_gamma 69.29
_space_group_name_H-M_alt 'P -1'
_space_group_IT_number 2
loop_
_space_group_symop_operation_xyz
'x,y,z'
'-x,-y,-z'
loop_
_atom_site_label
_atom_site_type_symbol
_atom_site_fract_x
_atom_site_fract_y
_atom_site_fract_z
Hg1 Hg 0.000 0.000 0.000
H1 H 0.246 0.686 0.501
C1 C 0.498 0.345 0.269
O1 O 0.234 0.785 0.622
O2 O 0.250 0.561 0.310
O3 O 0.495 0.769 0.890
# Theoretical density in g cm⁻³: 3.988

=====

# Hg2HCO4, optimized geometry, DFT GGA-PBE
data_Hg2HCO4
_chemical_formula_sum 'Hg8 H4 C4 O16'
_cell_length_a 11.935
_cell_length_b 5.900
_cell_length_c 9.414
_cell_angle_alpha 90.00
_cell_angle_beta 115.17
_cell_angle_gamma 90.00
_space_group_name_H-M_alt 'C 1 2/c 1'
_space_group_IT_number 15
loop_
_space_group_symop_operation_xyz
'x,y,z'
'-x,-y,-z'
'-x,y,-z+1/2'
'x,-y,z+1/2'
'x+1/2,y+1/2,z'
'-x+1/2,-y+1/2,-z'
'-x+1/2,y+1/2,-z+1/2'
'x+1/2,-y+1/2,z+1/2'
loop_
_atom_site_label
_atom_site_type_symbol
_atom_site_fract_x
_atom_site_fract_y
_atom_site_fract_z
Hg1 Hg 0.000 0.000 0.000
Hg2 Hg 0.250 0.250 0.000
H1 H 0.250 0.250 0.500
C1 C 0.000 0.500 0.000
O1 O 0.060 0.498 0.637
O2 O 0.187 0.080 0.491
# Theoretical density in g cm⁻³: 5.294

=====

no.,total DFT energy (no corrections) (eV per atom)
1,-6.41
2,-8.48
3,-8.04
4,-4.38
5,-9.81
6,-9.72
7,-10.14
8,-5.37
9,-8.87
10,-4.40
11,-6.08
12,-4.68